1.
Crystalline YCu2Tc at its relaxed geometry, computed with PBE-GGA. Values from VASP.

## Properties
The energy above the most stable polymorph in this dataset is 4.35 kJ/mol of atoms. The calculation puts the energy of formation at 172 meV per atom. The calculation puts the total magnetization at 0.0 μB per cell. For the total energy, the calculation gives -24.33 eV for the cell shown.

```
&SYSTEM
  ibrav = 0, nat = 4, ntyp = 3
/
ATOMIC_SPECIES
Tc 98.00 Tc.upf
Cu 63.55 Cu.upf
Y 88.91 Y.upf
CELL_PARAMETERS angstrom
3.366 0.000 0.000
0.000 3.366 0.000
0.000 0.000 5.879
ATOMIC_POSITIONS angstrom
Tc 1.683 1.683 1.470
Cu 0.000 0.000 2.678
Y 1.683 1.683 4.409
Cu 0.000 0.000 0.262
```

2.
Crystalline Y2CuTc at its relaxed geometry, computed with PBE-GGA. Values from VASP.

## Properties
The calculation puts the energy of formation at 52 meV per atom. The calculation puts the total magnetization at 0.0 μB per cell. For the total energy, the calculation gives -27.18 eV for the cell shown.

```
&SYSTEM
  ibrav = 0, nat = 4, ntyp = 3
/
ATOMIC_SPECIES
Tc 98.00 Tc.upf
Y 88.91 Y.upf
Cu 63.55 Cu.upf
CELL_PARAMETERS angstrom
5.919 0.040 0.184
4.858 3.382 0.184
1.698 0.539 4.296
ATOMIC_POSITIONS angstrom
Tc 2.809 0.892 1.303
Y 10.622 3.373 0.433
Cu 6.541 2.077 2.199
Y 9.518 3.022 3.430
```